Here is an optimized crystal structure of KBa2Sb3Pd4 from Alexandria via LeMat-Bulk. Energies are from PBE-GGA.

Structure (POSCAR):
```
KBa2Sb3Pd4
1.0
4.832 0.000 0.000
0.000 4.832 0.000
0.000 0.000 11.101
K Ba Sb Pd
1 2 3 4
Direct
0.000 0.000 0.000
0.000 0.500 0.738
0.500 0.000 0.262
0.000 0.500 0.382
0.500 0.000 0.618
0.500 0.500 0.000
0.000 0.000 0.500
0.000 0.500 0.145
0.500 0.000 0.855
0.500 0.500 0.500
```

* N(E_F): 0.64 states/eV per atom
* energy relative to the elements, uncorrected: -0.670 eV/atom

Here is an optimized crystal structure of CrAs2RhBr from Alexandria via LeMat-Bulk. Energies are from PBE-GGA.

Structure (POSCAR):
```
CrAs2RhBr
1.0
5.042 0.000 0.000
0.000 5.042 0.000
0.000 0.000 4.289
Cr As Rh Br
1 2 1 1
Direct
0.000 0.000 0.000
0.000 0.500 0.500
0.500 0.000 0.500
0.500 0.500 0.000
0.000 0.000 0.500
```

* N(E_F): 1.34 states/eV per atom
* energy above the lowest structure with this stoichiometry: 612.3 kJ/mol of formula units
* energy relative to the elements, uncorrected: 1.660 eV/atom

Here is an optimized crystal structure of ThCuAu2 from Alexandria via LeMat-Bulk. Energies are from PBE-GGA.

Structure (POSCAR):
```
ThCuAu2
1.0
2.679 -6.571 0.000
2.679 6.571 0.000
-2.632 0.000 4.679
Th Cu Au
2 2 4
Direct
0.130 0.870 0.750
0.870 0.130 0.250
0.250 0.750 0.250
0.750 0.250 0.750
0.240 0.413 0.899
0.413 0.240 0.399
0.587 0.760 0.601
0.760 0.587 0.101
```

* energy relative to the elements: -0.506 eV/atom
* N(E_F): 0.52 states/eV per atom
* energy above the lowest structure with this stoichiometry: 2.9 kJ/mol of formula units

Here is an optimized crystal structure of Pm3PtAu3 from Alexandria via LeMat-Bulk. Energies are from PBE-GGA.

Structure (POSCAR):
```
Pm3PtAu3
1.0
-1.928 2.265 9.980
1.928 -2.265 9.980
1.928 2.265 -9.980
Pm Pt Au
3 1 3
Direct
0.000 0.000 0.000
0.366 0.366 0.000
0.696 0.196 0.500
0.254 0.754 0.500
0.119 0.619 0.500
0.528 0.528 0.000
0.841 0.841 0.000
```

* energy relative to the elements: -0.865 eV/atom
* N(E_F): 0.70 states/eV per atom

Here is an optimized crystal structure of SiTeBr2 from Alexandria via LeMat-Bulk. Energies are from PBE-GGA.

Structure (POSCAR):
```
SiTeBr2
1.0
4.719 0.000 0.000
0.000 4.719 0.000
0.000 0.000 4.527
Si Te Br
1 1 2
Direct
0.000 0.000 0.000
0.500 0.500 0.000
0.000 0.500 0.500
0.500 0.000 0.500
```

* N(E_F): 0.71 states/eV per atom
* energy above the lowest structure with this stoichiometry: 261.1 kJ/mol of formula units
* energy relative to the elements, uncorrected: 0.539 eV/atom

Here is an optimized crystal structure of LaTh2Nb from Alexandria via LeMat-Bulk. Energies are from PBE-GGA.

Structure (POSCAR):
```
LaTh2Nb
1.0
3.658 0.000 0.000
0.000 3.658 0.000
0.000 0.000 8.607
La Th Nb
1 2 1
Direct
0.000 0.000 0.000
0.500 0.500 0.287
0.500 0.500 0.713
0.000 0.000 0.500
```

* energy relative to the elements: 0.151 eV/atom
* N(E_F): 1.40 states/eV per atom
* energy above the lowest structure with this stoichiometry: 0.0 kJ/mol of formula units